Record 1
## LaBeH (PBE)

Data for a relaxed LaBeH crystal.

The volume comes out at 46.2 Å³/f.u. As for the crystal system: orthorhombic. Its space group is Imm2 (44).

a = 3.8205 Å, b = 4.8407 Å, c = 9.9882 Å
α = 90.00°, β = 90.00°, γ = 90.00°
Closest atoms and distances in Å follow each position.
Positions (direct):
1 Be 0.5000 0.0000 0.9671  2 H 1.53
2 Be 0.5000 0.5000 0.5853  2 Be 2.25
3 Be 0.0000 0.5000 0.4671  2 H 1.53
4 Be 0.0000 0.0000 0.0853  2 Be 2.25
5 H 0.0000 0.7158 0.3546  1 Be 1.53
6 H 0.5000 0.2158 0.8546  1 Be 1.53
7 H 0.5000 0.7842 0.8546  1 Be 1.53
8 H 0.0000 0.2842 0.3546  1 Be 1.53
9 La 0.0000 0.5000 0.8962  4 H 2.39
10 La 0.5000 0.0000 0.3962  4 H 2.39
11 La 0.5000 0.5000 0.1920  4 H 2.72
12 La 0.0000 0.0000 0.6920  4 H 2.72

***

Record 2
## LaBeH (PBE)

Data for a relaxed LaBeH crystal.

The volume comes out at 48.2 Å³/f.u. As for the crystal system: triclinic. Its space group is P1 (1).

a = 4.0219 Å, b = 4.4160 Å, c = 5.9472 Å
α = 68.56°, β = 79.63°, γ = 89.72°
Closest atoms and distances in Å follow each position.
Positions (direct):
1 Be 0.3646 0.5955 0.9543  1 H 1.56
2 Be 0.8141 0.4756 0.1580  1 H 1.49
3 H 0.6005 0.7168 0.6963  1 Be 1.56
4 H 0.8085 0.1223 0.1966  1 Be 1.49
5 La 0.8401 0.1681 0.7845  3 H 2.36-2.51
6 La 0.2705 0.8855 0.3606  3 H 2.29-2.48

***

Record 3
## LaBeH (PBE)

Data for a relaxed LaBeH crystal.

The volume comes out at 49.4 Å³/f.u. As for the crystal system: monoclinic. Its space group is Pm (6).

a = 3.7270 Å, b = 4.0543 Å, c = 6.7961 Å
α = 90.00°, β = 105.78°, γ = 90.00°
Closest atoms and distances in Å follow each position.
Positions (direct):
1 H 0.0494 0.5000 0.8484  1 Be 1.57
2 H 0.6979 0.0000 0.2478  1 Be 1.54
3 Be 0.4763 0.5000 0.8632  1 H 1.57
4 Be 0.5808 0.0000 0.0126  1 H 1.54
5 La 0.1732 0.5000 0.2118  1 H 2.39
6 La 0.9084 0.0000 0.6661  2 H 2.36

***

Record 4
## LaBe2H6 (PBE)

Data for a relaxed LaBe2H6 crystal.

The volume comes out at 75.2 Å³/f.u. As for the crystal system: triclinic. Its space group is P-1 (2).

a = 6.8367 Å, b = 4.3809 Å, c = 6.3626 Å
α = 42.66°, β = 38.53°, γ = 64.79°
Closest atoms and distances in Å follow each position.
Positions (direct):
1 H 0.5914 0.3710 0.1952  1 Be 1.41
2 H 0.2794 0.8258 0.1735  2 Be 1.52
3 H 0.7206 0.1742 0.8265  2 Be 1.52
4 H 0.8461 0.1902 0.3717  1 Be 1.41
5 H 0.4086 0.6290 0.8048  1 Be 1.41
6 H 0.1539 0.8098 0.6283  1 Be 1.41
7 Be 0.3564 0.1441 0.1425  4 H 1.41-1.52
8 Be 0.6436 0.8559 0.8575  4 H 1.41-1.52
9 La 0.0000 0.0000 0.0000  12 H 2.38-2.57

***

Record 5
## LaBeH (PBE)

Data for a relaxed LaBeH crystal.

The volume comes out at 49.8 Å³/f.u. As for the crystal system: orthorhombic. Its space group is Amm2 (38).

a = 4.1185 Å, b = 4.4878 Å, c = 10.7721 Å
α = 90.00°, β = 90.00°, γ = 90.00°
Closest atoms and distances in Å follow each position.
Positions (direct):
1 Be 0.5000 0.5000 0.5303  2 H 1.51
2 Be 0.0000 0.5000 0.4264  2 Be 2.34
3 Be 0.5000 0.0000 0.0303  2 H 1.51
4 Be 0.0000 0.0000 0.9264  2 Be 2.34
5 La 0.0000 0.5000 0.1109  4 H 2.37
6 La 0.5000 0.5000 0.8255  2 H 2.40
7 La 0.5000 0.0000 0.3255  2 H 2.40
8 La 0.0000 0.0000 0.6109  4 H 2.37
9 H 0.5000 0.7569 0.1267  1 Be 1.51
10 H 0.5000 0.7431 0.6267  1 Be 1.51
11 H 0.5000 0.2569 0.6267  1 Be 1.51
12 H 0.5000 0.2431 0.1267  1 Be 1.51

***

Record 6
## LaBeH (PBE)

Data for a relaxed LaBeH crystal.

The volume comes out at 48.2 Å³/f.u. As for the crystal system: monoclinic. Its space group is P2_1/m (11).

a = 4.4093 Å, b = 4.2361 Å, c = 5.3196 Å
α = 90.00°, β = 104.03°, γ = 90.00°
Closest atoms and distances in Å follow each position.
Positions (direct):
1 La 0.1372 0.2500 0.2900  3 H 2.39-2.47
2 La 0.8628 0.7500 0.7100  3 H 2.39-2.47
3 H 0.3974 0.7500 0.3417  1 Be 1.51
4 H 0.6026 0.2500 0.6583  1 Be 1.51
5 Be 0.4694 0.2500 0.8944  1 H 1.51
6 Be 0.5306 0.7500 0.1056  1 H 1.51

***

In order of appearance, polymorph energy (0 for the lowest one) = 110; 54; 40; 0; 41; 26 meV/atom.